The following is a DFT calculation (PBE) of a relaxed structure of BaNaVCl6.

- M_tot (μB/f.u.) = 2.000
- raw total energy (eV per atom) = -4.359
- formation energy without anion corrections (eV per atom) = -1.754
- density (g/cm³) = 2.7

Cell: 6.8589 6.8589 6.4565 Å, 90.00 90.00 120.00°
Closest atoms and distances in Å follow each position.
Fractional positions:
1 Ba 0.0000 0.0000 0.0000  6 Cl 3.12
2 Na 0.3333 0.6667 0.5000  6 Cl 2.79
3 V 0.6667 0.3333 0.5000  6 Cl 2.40
4 Cl 0.3866 0.0425 0.7160  1 V 2.40
5 Cl 0.3866 0.3441 0.2840  1 V 2.40
6 Cl 0.6559 0.0425 0.2840  1 V 2.40
7 Cl 0.6559 0.6134 0.7160  1 V 2.40
8 Cl 0.9575 0.3441 0.7160  1 V 2.40
9 Cl 0.9575 0.6134 0.2840  1 V 2.40


The following is a DFT calculation (PBE) of a relaxed structure of CdAgCl3.

- M_tot (μB/f.u.) = 0.000
- raw total energy (eV per atom) = -2.647
- formation energy without anion corrections (eV per atom) = -0.786
- density (g/cm³) = 4.1
- relative energy among the computed polymorphs (eV/f.u.) = 0.15

Cell: 8.7011 8.7011 7.9886 Å, 105.24 105.24 68.61°
Closest atoms and distances in Å follow each position.
Fractional positions:
1 Cd 0.1696 0.3149 0.2619  5 Cl 2.53-2.73
2 Cd 0.3149 0.1696 0.7619  5 Cl 2.53-2.73
3 Cd 0.6851 0.8304 0.2381  5 Cl 2.53-2.73
4 Cd 0.8304 0.6851 0.7381  5 Cl 2.53-2.73
5 Ag 0.1690 0.8310 0.2500  4 Cl 2.61
6 Ag 0.4101 0.5899 0.7500  6 Cl 2.75-2.93
7 Ag 0.5899 0.4101 0.2500  6 Cl 2.75-2.93
8 Ag 0.8310 0.1690 0.7500  4 Cl 2.61
9 Cl 0.1299 0.1343 0.9455  2 Cd 2.58-2.61, 1 Ag 2.61
10 Cl 0.1343 0.1299 0.4455  2 Cd 2.58-2.61, 1 Ag 2.61
11 Cl 0.1467 0.5057 0.7864  2 Cd 2.60-2.73, 1 Ag 2.75
12 Cl 0.2776 0.5625 0.3899  1 Cd 2.53, 2 Ag 2.61-2.79
13 Cl 0.4375 0.7224 0.1101  1 Cd 2.53, 2 Ag 2.61-2.79
14 Cl 0.4943 0.8533 0.7136  2 Cd 2.60-2.73, 1 Ag 2.75
15 Cl 0.5057 0.1467 0.2864  2 Cd 2.60-2.73, 1 Ag 2.75
16 Cl 0.5625 0.2776 0.8899  1 Cd 2.53, 2 Ag 2.61-2.79
17 Cl 0.7224 0.4375 0.6101  1 Cd 2.53, 2 Ag 2.61-2.79
18 Cl 0.8533 0.4943 0.2136  2 Cd 2.60-2.73, 1 Ag 2.75
19 Cl 0.8657 0.8701 0.5545  2 Cd 2.58-2.61, 1 Ag 2.61
20 Cl 0.8701 0.8657 0.0545  2 Cd 2.58-2.61, 1 Ag 2.61


The following is a DFT calculation (PBE) of a relaxed structure of Ca2HIr.

- M_tot (μB/f.u.) = 0.000
- raw total energy (eV per atom) = -4.157
- density (g/cm³) = 5.8
- relative energy among the computed polymorphs (eV/f.u.) = 0.53

Cell: 6.6795 6.6795 7.0451 Å, 90.00 90.00 90.00°
Closest atoms and distances in Å follow each position.
Fractional positions:
1 Ca 0.1858 0.2500 0.1250  2 H 2.26
2 Ca 0.2500 0.6858 0.3750  2 H 2.26
3 Ca 0.2500 0.8142 0.8750  2 H 2.26
4 Ca 0.3142 0.2500 0.6250  2 H 2.26
5 Ca 0.6858 0.7500 0.6250  2 H 2.26
6 Ca 0.7500 0.1858 0.8750  2 H 2.26
7 Ca 0.7500 0.3142 0.3750  2 H 2.26
8 Ca 0.8142 0.7500 0.1250  2 H 2.26
9 H 0.0000 0.0000 0.0000  4 Ca 2.26
10 H 0.0000 0.5000 0.2500  4 Ca 2.26
11 H 0.5000 0.0000 0.7500  4 Ca 2.26
12 H 0.5000 0.5000 0.5000  4 Ca 2.26
13 Ir 0.0000 0.0000 0.5000  4 Ca 2.82
14 Ir 0.0000 0.5000 0.7500  4 Ca 2.82
15 Ir 0.5000 0.0000 0.2500  4 Ca 2.82
16 Ir 0.5000 0.5000 0.0000  4 Ca 2.82


The following is a DFT calculation (PBE) of a relaxed structure of Be2ZnW.

- M_tot (μB/f.u.) = 0.000
- raw total energy (eV per atom) = -5.252
- density (g/cm³) = 9.4
- calculated formation energy (kcal/mol of atoms) = 3.9

Cell: 2.7122 3.7322 4.8442 Å, 90.00 106.13 90.00°
Closest atoms and distances in Å follow each position.
Fractional positions:
1 Be 0.0000 0.0000 0.0000  2 Be 2.24, 4 Zn 2.47-2.48, 1 W 2.48
2 Be 0.1320 0.5000 0.2670  2 Be 2.24, 4 W 2.49, 1 Zn 2.51
3 Zn 0.4014 0.5000 0.8063  7 Be 2.47-2.54, 2 Zn 2.71
4 W 0.7312 0.0000 0.4670  7 Be 2.48-2.56, 2 W 2.71


The following is a DFT calculation (PBE) of a relaxed structure of Rb3OsAu.

- M_tot (μB/f.u.) = 2.000
- raw total energy (eV per atom) = -2.429
- density (g/cm³) = 4.2
- calculated formation energy (kcal/mol of atoms) = 24.3
- relative energy among the computed polymorphs (eV/f.u.) = 0.00

Cell: 6.3496 6.3496 6.3496 Å, 90.00 90.00 90.00°
Closest atoms and distances in Å follow each position.
Fractional positions:
1 Rb 0.0000 0.0000 0.5000  2 Os 3.17
2 Rb 0.0000 0.5000 0.0000  2 Os 3.17
3 Rb 0.5000 0.0000 0.0000  2 Os 3.17
4 Os 0.0000 0.0000 0.0000  6 Rb 3.17
5 Au 0.5000 0.5000 0.5000  12 Rb 4.49


The following is a DFT calculation (PBE) of a relaxed structure of CdTePb2.

- M_tot (μB/f.u.) = 0.000
- raw total energy (eV per atom) = -2.823
- formation energy without anion corrections (eV per atom) = 0.045
- density (g/cm³) = 9.3
- relative energy among the computed polymorphs (eV/f.u.) = 0.45

Cell: 3.3057 3.3057 10.7341 Å, 90.00 90.00 90.00°
Closest atoms and distances in Å follow each position.
Fractional positions:
1 Cd 0.0000 0.0000 0.0000  4 Cd 3.31, 8 Pb 3.34
2 Te 0.0000 0.0000 0.5000  4 Te 3.31
3 Pb 0.5000 0.5000 0.2228  4 Pb 3.31, 4 Cd 3.34
4 Pb 0.5000 0.5000 0.7772  4 Pb 3.31, 4 Cd 3.34


The following is a DFT calculation (PBE) of a relaxed structure of InSnPdRh.

- M_tot (μB/f.u.) = 0.000
- raw total energy (eV per atom) = -5.219
- density (g/cm³) = 10.4
- calculated formation energy (kcal/mol of atoms) = -9.2

Cell: 6.5725 6.5725 6.5725 Å, 90.00 90.00 90.00°
Closest atoms and distances in Å follow each position.
Fractional positions:
1 In 0.0000 0.0000 0.0000  4 Rh 2.85, 4 Pd 2.85
2 In 0.0000 0.5000 0.5000  4 Rh 2.85, 4 Pd 2.85
3 In 0.5000 0.0000 0.5000  4 Rh 2.85, 4 Pd 2.85
4 In 0.5000 0.5000 0.0000  4 Rh 2.85, 4 Pd 2.85
5 Sn 0.0000 0.0000 0.5000  4 Pd 2.85, 4 Rh 2.85
6 Sn 0.0000 0.5000 0.0000  4 Pd 2.85, 4 Rh 2.85
7 Sn 0.5000 0.0000 0.0000  4 Pd 2.85, 4 Rh 2.85
8 Sn 0.5000 0.5000 0.5000  4 Rh 2.85, 4 Pd 2.85
9 Pd 0.2500 0.2500 0.7500  4 In 2.85, 4 Sn 2.85
10 Pd 0.2500 0.7500 0.2500  4 In 2.85, 4 Sn 2.85
11 Pd 0.7500 0.2500 0.2500  4 In 2.85, 4 Sn 2.85
12 Pd 0.7500 0.7500 0.7500  4 Sn 2.85, 4 In 2.85
13 Rh 0.2500 0.2500 0.2500  4 In 2.85, 4 Sn 2.85
14 Rh 0.2500 0.7500 0.7500  4 In 2.85, 4 Sn 2.85
15 Rh 0.7500 0.2500 0.7500  4 In 2.85, 4 Sn 2.85
16 Rh 0.7500 0.7500 0.2500  4 In 2.85, 4 Sn 2.85


The following is a DFT calculation (PBE) of a relaxed structure of Ce2Th2Tl3.

- M_tot (μB/f.u.) = 1.377
- raw total energy (eV per atom) = -4.942
- density (g/cm³) = 11.4
- calculated formation energy (kcal/mol of atoms) = -2.6

Cell: 4.6337 24.7879 3.4482 Å, 90.00 90.00 90.00°
Closest atoms and distances in Å follow each position.
Fractional positions:
1 Ce 0.0000 0.2164 0.0000  2 Ce 2.85
2 Ce 0.0000 0.7836 0.0000  2 Ce 2.85
3 Ce 0.5000 0.2836 0.0000  2 Ce 2.85
4 Ce 0.5000 0.7164 0.0000  2 Ce 2.85
5 Th 0.0000 0.0738 0.0000  8 Tl 3.42-3.45, 3 Th 3.45-3.66, 1 Ce 3.54
6 Th 0.0000 0.9262 0.0000  8 Tl 3.42-3.45, 3 Th 3.45-3.66, 1 Ce 3.54
7 Th 0.5000 0.4262 0.0000  8 Tl 3.42-3.45, 3 Th 3.45-3.66, 1 Ce 3.54
8 Th 0.5000 0.5738 0.0000  8 Tl 3.42-3.45, 3 Th 3.45-3.66, 1 Ce 3.54
9 Tl 0.0000 0.3502 0.5000  4 Ce 3.33, 4 Th 3.45, 3 Tl 3.45-3.71
10 Tl 0.0000 0.5000 0.5000  8 Th 3.42, 4 Tl 3.45-3.71
11 Tl 0.0000 0.6498 0.5000  4 Ce 3.33, 4 Th 3.45, 3 Tl 3.45-3.71
12 Tl 0.5000 0.0000 0.5000  8 Th 3.42, 4 Tl 3.45-3.71
13 Tl 0.5000 0.1498 0.5000  4 Ce 3.33, 4 Th 3.45, 3 Tl 3.45-3.71
14 Tl 0.5000 0.8502 0.5000  4 Ce 3.33, 4 Th 3.45, 3 Tl 3.45-3.71


The following is a DFT calculation (PBE) of a relaxed structure of CaLa8Tb2.

- M_tot (μB/f.u.) = 0.000
- raw total energy (eV per atom) = -4.577
- density (g/cm³) = 6.1
- calculated formation energy (kcal/mol of atoms) = 0.7

Cell: 9.8166 9.8166 8.3018 Å, 104.38 104.38 31.21°
Closest atoms and distances in Å follow each position.
Fractional positions:
1 Ca 0.0000 0.0000 0.0000  12 La 3.74-3.81
2 La 0.0940 0.0940 0.4625  8 La 3.62-3.79, 3 Tb 3.67-3.68, 1 Ca 3.79
3 La 0.1842 0.1842 0.9106  8 La 3.61-3.75, 3 Tb 3.71-3.72, 1 Ca 3.74
4 La 0.3581 0.3581 0.8069  7 La 3.61-3.89, 3 Tb 3.61-3.64, 2 Ca 3.81
5 La 0.4518 0.4518 0.2832  9 La 3.59-3.89, 1 Tb 3.63, 2 Ca 3.80
6 La 0.5482 0.5482 0.7168  9 La 3.59-3.89, 1 Tb 3.63, 2 Ca 3.80
7 La 0.6419 0.6419 0.1931  7 La 3.61-3.89, 3 Tb 3.61-3.64, 2 Ca 3.81
8 La 0.8158 0.8158 0.0894  8 La 3.61-3.75, 3 Tb 3.71-3.72, 1 Ca 3.74
9 La 0.9060 0.9060 0.5375  8 La 3.62-3.79, 3 Tb 3.67-3.68, 1 Ca 3.79
10 Tb 0.2725 0.2725 0.3646  10 La 3.61-3.72, 2 Tb 3.71
11 Tb 0.7275 0.7275 0.6354  10 La 3.61-3.72, 2 Tb 3.71


The following is a DFT calculation (PBE) of a relaxed structure of La2Pr6NdSm.

- M_tot (μB/f.u.) = 0.000
- raw total energy (eV per atom) = -4.697
- density (g/cm³) = 6.5
- calculated formation energy (kcal/mol of atoms) = 2.4

Cell: 9.0034 9.0034 10.2745 Å, 95.35 95.35 117.75°
Closest atoms and distances in Å follow each position.
Fractional positions:
1 La 0.1897 0.2851 0.0410  5 Pr 3.36-3.63, 2 Nd 3.43-3.47, 1 Sm 3.68
2 La 0.2851 0.1897 0.5410  5 Pr 3.36-3.63, 2 Nd 3.43-3.47, 1 Sm 3.68
3 La 0.7149 0.8103 0.4590  5 Pr 3.36-3.63, 2 Nd 3.43-3.47, 1 Sm 3.68
4 La 0.8103 0.7149 0.9590  5 Pr 3.36-3.63, 2 Nd 3.43-3.47, 1 Sm 3.68
5 Pr 0.0181 0.5781 0.1884  4 Pr 3.42-3.77, 1 Sm 3.52, 1 La 3.53, 1 Nd 3.71
6 Pr 0.1175 0.7393 0.5550  7 Pr 3.53-3.92, 1 La 3.63, 1 Nd 3.68, 1 Sm 3.87
7 Pr 0.2607 0.8825 0.9450  7 Pr 3.53-3.92, 1 La 3.63, 1 Nd 3.68, 1 Sm 3.87
8 Pr 0.3001 0.5032 0.3795  3 La 3.36-3.63, 4 Pr 3.42-3.68, 2 Sm 3.50-3.75
9 Pr 0.4219 0.9819 0.3116  4 Pr 3.42-3.77, 1 Sm 3.52, 1 La 3.53, 1 Nd 3.71
10 Pr 0.4968 0.6999 0.1205  3 La 3.36-3.63, 4 Pr 3.42-3.68, 2 Sm 3.50-3.75
11 Pr 0.5032 0.3001 0.8795  3 La 3.36-3.63, 4 Pr 3.42-3.68, 2 Sm 3.50-3.75
12 Pr 0.5781 0.0181 0.6884  4 Pr 3.42-3.77, 1 Sm 3.52, 1 La 3.53, 1 Nd 3.71
13 Pr 0.6999 0.4968 0.6205  3 La 3.36-3.63, 4 Pr 3.42-3.68, 2 Sm 3.50-3.75
14 Pr 0.7393 0.1175 0.0550  7 Pr 3.53-3.92, 1 La 3.63, 1 Nd 3.68, 1 Sm 3.87
15 Pr 0.8825 0.2607 0.4450  7 Pr 3.53-3.92, 1 La 3.63, 1 Nd 3.68, 1 Sm 3.87
16 Pr 0.9819 0.4219 0.8116  4 Pr 3.42-3.77, 1 Sm 3.52, 1 La 3.53, 1 Nd 3.71
17 Nd 0.0119 0.9881 0.2500  4 La 3.43-3.47, 4 Pr 3.68-3.71
18 Nd 0.9881 0.0119 0.7500  4 La 3.43-3.47, 4 Pr 3.68-3.71
19 Sm 0.4045 0.5955 0.7500  8 Pr 3.50-3.87, 2 La 3.68
20 Sm 0.5955 0.4045 0.2500  8 Pr 3.50-3.87, 2 La 3.68


The following is a DFT calculation (PBE) of a relaxed structure of TiCoSbTe2.

- M_tot (μB/f.u.) = 0.004
- raw total energy (eV per atom) = -4.589
- formation energy without anion corrections (eV per atom) = 0.492
- density (g/cm³) = 6.5
- relative energy among the computed polymorphs (eV/f.u.) = 0.00

Cell: 5.1258 5.1258 4.6927 Å, 90.00 90.00 90.00°
Closest atoms and distances in Å follow each position.
Fractional positions:
1 Ti 0.0000 0.0000 0.0000  8 Te 3.47, 4 Sb 3.62
2 Co 0.5000 0.5000 0.5000  2 Sb 2.35, 4 Te 2.56
3 Sb 0.5000 0.5000 0.0000  2 Co 2.35
4 Te 0.0000 0.5000 0.5000  2 Co 2.56
5 Te 0.5000 0.0000 0.5000  2 Co 2.56


The following is a DFT calculation (PBE) of a relaxed structure of RbCa2Br2.

- M_tot (μB/f.u.) = 0.000
- raw total energy (eV per atom) = -2.433
- formation energy without anion corrections (eV per atom) = -0.770
- density (g/cm³) = 2.2
- relative energy among the computed polymorphs (eV/f.u.) = 1.32

Cell: 11.4049 11.4049 3.6946 Å, 90.00 90.00 90.00°
Closest atoms and distances in Å follow each position.
Fractional positions:
1 Rb 0.0000 0.0000 0.0000  2 Rb 3.69
2 Rb 0.5000 0.5000 0.0000  2 Rb 3.69
3 Ca 0.1139 0.3861 0.0000  4 Br 3.13
4 Ca 0.3861 0.8861 0.0000  4 Br 3.13
5 Ca 0.6139 0.1139 0.0000  4 Br 3.13
6 Ca 0.8861 0.6139 0.0000  4 Br 3.13
7 Br 0.1074 0.6074 0.5000  4 Ca 3.13, 1 Br 3.46
8 Br 0.3926 0.1074 0.5000  4 Ca 3.13, 1 Br 3.46
9 Br 0.6074 0.8926 0.5000  4 Ca 3.13, 1 Br 3.46
10 Br 0.8926 0.3926 0.5000  4 Ca 3.13, 1 Br 3.46